First-principles (PBE-GGA) data for an optimized crystal structure of NbHgBr4, as listed in Alexandria via LeMat-Bulk.

a b c (Å): 6.204 11.378 8.296
angles (deg): 49.39 84.33 76.15
Site moments in Bohr magnetons follow the coordinates.
Fractional positions:
Br (0.654, 0.821, 0.574)  0.00
Br (0.207, 0.633, 0.808)  0.00
Br (0.386, 0.818, 0.985)  0.00
Br (0.140, 0.998, 0.262)  0.01
Br (0.614, 0.182, 0.015)  0.00
Br (0.346, 0.179, 0.426)  0.00
Br (0.860, 0.002, 0.738)  0.01
Br (0.793, 0.367, 0.192)  0.00
Hg (0.752, 0.495, 0.508)  0.00
Hg (0.248, 0.505, 0.492)  0.00
Nb (0.780, 0.093, 0.361)  0.17
Nb (0.220, 0.907, 0.639)  0.17

Calculated values
* total moment: 0.43 Bohr magnetons per cell
* VASP energy: -3.5391 eV per atom
* formation energy from raw total energies: -695 meV per atom